DFT (PBE) results for a relaxed YTaSeBr2 crystal.

Calculated values
The value obtained for the magnetization is 0.24 μB per atom. Its polymorph energy (0 for the lowest one) is 0.000 kcal/mol of atoms. The value obtained for the calculated volume is 133.1 Å³/f.u. Its uncorrected formation energy is -89.6 meV/atom.

```
data_YTaSeBr2
_symmetry_space_group_name_H-M 'P 4/m m m'
_symmetry_Int_Tables_number 123
_symmetry_space_group_name_Hall '-P 4 2'
_cell_length_a 5.140
_cell_length_b 5.140
_cell_length_c 5.036
_cell_angle_alpha 90.00
_cell_angle_beta 90.00
_cell_angle_gamma 90.00
loop_
_atom_site_label
_atom_site_type_symbol
_atom_site_fract_x
_atom_site_fract_y
_atom_site_fract_z
_atom_site_occupancy
Y1 Y 0.000 0.000 0.000 1
Ta1 Ta 0.500 0.500 0.500 1
Se1 Se 0.500 0.500 0.000 1
Br1 Br 0.000 0.500 0.500 1
```